No. 1
Below is a geometry-optimized ErHfH structure, with properties calculated at the PBE level.

Structure (CIF):
```
data_ErHfH
_cell_length_a 5.0819
_cell_length_b 3.4008
_cell_length_c 6.2327
_cell_angle_alpha 90.00
_cell_angle_beta 90.45
_cell_angle_gamma 90.00
_space_group_name_H-M_alt 'P 1 21/m 1'
_space_group_IT_number 11
loop_
_space_group_symop_operation_xyz
'x,y,z'
'-x,-y,-z'
'-x,y+1/2,-z'
'x,-y+1/2,z'
loop_
_atom_site_label
_atom_site_type_symbol
_atom_site_fract_x
_atom_site_fract_y
_atom_site_fract_z
Er1 Er 0.2488 0.2500 0.3900
Hf1 Hf 0.2496 0.7500 0.9296
H1 H 0.2324 0.7500 0.6039
```

Values from the calculation:
For the density, the calculation gives 10.691 g cm⁻³. The calculation puts the offset from the most stable computed form at 0 meV per atom.

=====

No. 2
Below is a geometry-optimized ErHf2H structure, with properties calculated at the PBE level.

Structure (CIF):
```
data_ErHf2H
_cell_length_a 3.2232
_cell_length_b 3.2232
_cell_length_c 25.8266
_cell_angle_alpha 90.00
_cell_angle_beta 90.00
_cell_angle_gamma 120.00
_space_group_name_H-M_alt 'R -3 m'
_space_group_IT_number 166
_space_group_name_Hall '-R 3 2"'
loop_
_atom_site_label
_atom_site_type_symbol
_atom_site_fract_x
_atom_site_fract_y
_atom_site_fract_z
Er1 Er 0.0000 0.0000 0.0000
Hf1 Hf 0.0000 0.0000 0.1187
H1 H 0.0000 0.0000 0.5000
```

Values from the calculation:
As for the electronic total energy: -81.78 eV for the cell shown. For the density, the calculation gives 11.260 g cm⁻³.

=====

No. 3
Below is a geometry-optimized Er2Hg2H structure, with properties calculated at the PBE level.

Structure (CIF):
```
data_Er2Hg2H
_cell_length_a 3.8369
_cell_length_b 12.5736
_cell_length_c 8.7328
_cell_angle_alpha 90.00
_cell_angle_beta 90.00
_cell_angle_gamma 90.00
_space_group_name_H-M_alt 'C m c 21'
_space_group_IT_number 36
loop_
_space_group_symop_operation_xyz
'x,y,z'
'-x,-y,z+1/2'
'-x,y,z'
'x,-y,z+1/2'
'x+1/2,y+1/2,z'
'-x+1/2,-y+1/2,z+1/2'
'-x+1/2,y+1/2,z'
'x+1/2,-y+1/2,z+1/2'
loop_
_atom_site_label
_atom_site_type_symbol
_atom_site_fract_x
_atom_site_fract_y
_atom_site_fract_z
Er1 Er 0.0000 0.0439 0.0000
Er2 Er 0.0000 0.3575 0.8217
Hg1 Hg 0.0000 0.2675 0.5163
Hg2 Hg 0.0000 0.3857 0.1966
H1 H 0.0000 0.0635 0.2818
```

Values from the calculation:
As for the electronic total energy: -60.50 eV for the cell shown. For the density, the calculation gives 11.615 g cm⁻³.

=====

No. 4
Below is a geometry-optimized Er2HgH structure, with properties calculated at the PBE level.

Structure (CIF):
```
data_Er2HgH
_cell_length_a 6.3445
_cell_length_b 3.6571
_cell_length_c 7.4563
_cell_angle_alpha 90.00
_cell_angle_beta 90.08
_cell_angle_gamma 90.00
_space_group_name_H-M_alt 'C 1 m 1'
_space_group_IT_number 8
loop_
_space_group_symop_operation_xyz
'x,y,z'
'x,-y,z'
'x+1/2,y+1/2,z'
'x+1/2,-y+1/2,z'
loop_
_atom_site_label
_atom_site_type_symbol
_atom_site_fract_x
_atom_site_fract_y
_atom_site_fract_z
Er1 Er 0.0000 0.0000 0.0000
Er2 Er 0.1666 0.5000 0.6311
Hg1 Hg 0.3328 0.0000 0.3152
H1 H 0.9998 0.0000 0.7044
```

Values from the calculation:
For the density, the calculation gives 10.291 g cm⁻³. The calculation puts the offset from the most stable computed form at 0 meV per atom.

=====

What did the first record say?
Below is a geometry-optimized ErHfH structure, with properties calculated at the PBE level.

Structure (CIF):
```
data_ErHfH
_cell_length_a 5.0819
_cell_length_b 3.4008
_cell_length_c 6.2327
_cell_angle_alpha 90.00
_cell_angle_beta 90.45
_cell_angle_gamma 90.00
_space_group_name_H-M_alt 'P 1 21/m 1'
_space_group_IT_number 11
loop_
_space_group_symop_operation_xyz
'x,y,z'
'-x,-y,-z'
'-x,y+1/2,-z'
'x,-y+1/2,z'
loop_
_atom_site_label
_atom_site_type_symbol
_atom_site_fract_x
_atom_site_fract_y
_atom_site_fract_z
Er1 Er 0.2488 0.2500 0.3900
Hf1 Hf 0.2496 0.7500 0.9296
H1 H 0.2324 0.7500 0.6039
```

Values from the calculation:
For the density, the calculation gives 10.691 g cm⁻³. The calculation puts the offset from the most stable computed form at 0 meV per atom.

=====

> What is the density in the second record?

11.260 g cm⁻³